# AcAl2Ga | the Alexandria database | GGA-PBE | relaxed
data_AcAl2Ga
_symmetry_space_group_name_H-M 'P 4/m m m'
_symmetry_Int_Tables_number 123
_symmetry_space_group_name_Hall '-P 4 2'
_cell_length_a 4.586
_cell_length_b 4.586
_cell_length_c 4.693
_cell_angle_alpha 90.00
_cell_angle_beta 90.00
_cell_angle_gamma 90.00
loop_
_atom_site_label
_atom_site_type_symbol
_atom_site_fract_x
_atom_site_fract_y
_atom_site_fract_z
Ac1 Ac 0.000 0.000 0.000
Al1 Al 0.000 0.500 0.500
Ga1 Ga 0.500 0.500 0.000
# Energy (eV/atom): -3.841
# Calculated density (g/cm³): 5.90
# Energy relative to the elements (eV per atom): -0.186